Material: CaNi2Hg2
Method: DFT, meta-GGA SCAN
State: PBEsol geometry

- electronic total energy (eV for the cell shown) = -178.65
- space group = No. 139
- energy relative to the elements (eV/f.u.) = -0.30
- size of the total moment (μB/f.u.) = 0.00

abc: 4.2770 4.2770 6.0364
angles: 110.75 110.75 90.00
Sites, in units of the cell vectors:
Hg 0.7500 0.2500 0.5000
Hg 0.2500 0.7500 0.5000
Ca 0.0000 0.0000 0.0000
Ni 0.6056 0.6056 0.2112
Ni 0.3944 0.3944 0.7888